1.
## Li11Sn9Hg4 (PBE)

Data for crystalline Li11Sn9Hg4 at its relaxed geometry.

Geometry as CIF:
```
data_Li11Sn9Hg4
_chemical_formula_sum 'Li22 Sn18 Hg8'
_space_group_name_H-M_alt 'C m m m'
_space_group_IT_number 65
_space_group_name_Hall '-C 2 2'
_cell_length_a 14.157
_cell_length_b 20.937
_cell_length_c 3.343
_cell_angle_alpha 90.00
_cell_angle_beta 90.00
_cell_angle_gamma 90.00
loop_
_atom_site_label
_atom_site_type_symbol
_atom_site_fract_x
_atom_site_fract_y
_atom_site_fract_z
_atom_site_occupancy
Li1 Li 0.000 0.000 0.000 1
Li2 Li 0.000 0.154 0.000 1
Li3 Li 0.000 0.357 0.000 1
Li4 Li 0.215 0.500 0.000 1
Li5 Li 0.233 0.178 0.000 1
Sn1 Sn 0.000 0.500 0.500 1
Sn2 Sn 0.107 0.255 0.500 1
Sn3 Sn 0.135 0.074 0.500 1
Hg1 Hg 0.152 0.398 0.500 1
```

Mass density ... 6.5 g/cm3

---

2.
## LaSnHgBi (PBE)

Data for crystalline LaSnHgBi at its relaxed geometry.

Geometry as CIF:
```
data_LaSnHgBi
_chemical_formula_sum 'La4 Sn4 Hg4 Bi4'
_space_group_name_H-M_alt 'F -4 3 m'
_space_group_IT_number 216
_space_group_name_Hall 'F -4 2 3'
_cell_length_a 7.801
_cell_length_b 7.801
_cell_length_c 7.801
_cell_angle_alpha 90.00
_cell_angle_beta 90.00
_cell_angle_gamma 90.00
loop_
_atom_site_label
_atom_site_type_symbol
_atom_site_fract_x
_atom_site_fract_y
_atom_site_fract_z
_atom_site_occupancy
La1 La 0.000 0.000 0.000 1
Sn1 Sn 0.250 0.250 0.750 1
Hg1 Hg 0.250 0.250 0.250 1
Bi1 Bi 0.000 0.000 0.500 1
```

Mass density ... 9.3 g/cm3
Polymorph energy (0 for the lowest one) ... 178 meV per atom

---

Here are the calculated formation energy numbers, same order: -311, -362 (meV per atom).